# 1
The following is a DFT calculation (PBE) of LaPuZnRh after structural relaxation.

## Properties
magnetic moment	5.54	μB per cell
V	91.8	Å³ per cell
symmetry	No. 216
N(E_F)	9.81	states/eV/cell
crystal system	cubic
calculated total energy	-7.287	eV/atom
formation energy	-0.316	eV/atom

a b c (Å): 5.063 5.063 5.063
angles (deg): 60.00 60.00 60.00
Fractional positions:
La (0.000, 0.000, 0.000)
Pu (0.500, 0.500, 0.500)
Zn (0.750, 0.750, 0.750)
Rh (0.250, 0.250, 0.250)


# 2
The following is a DFT calculation (PBE) of MgTaSi2 after structural relaxation.

## Properties
magnetic moment	0.00	μB per cell
V	66.4	Å³ per cell
symmetry	No. 99
formation energy from raw total energies	0.221	eV per atom
N(E_F)	2.03	states/eV/cell
crystal system	tetragonal
calculated total energy	-5.852	eV/atom

a b c (Å): 2.805 2.805 8.442
angles (deg): 90.00 90.00 90.00
Fractional positions:
Mg (0.000, 0.000, 0.000)
Ta (0.500, 0.500, 0.718)
Si (0.000, 0.000, 0.488)
Si (0.500, 0.500, 0.255)


# 3
The following is a DFT calculation (PBE) of LiCr4Mo after structural relaxation.

## Properties
magnetic moment	0.00	μB per cell
V	76.9	Å³ per cell
symmetry	No. 216
N(E_F)	9.46	states/eV/cell
crystal system	cubic
calculated total energy	-8.259	eV/atom
formation energy	0.281	eV/atom

a b c (Å): 4.773 4.773 4.773
angles (deg): 60.00 60.00 60.00
Fractional positions:
Li (0.000, 0.000, 0.000)
Cr (0.122, 0.626, 0.626)
Cr (0.626, 0.122, 0.626)
Cr (0.626, 0.626, 0.122)
Cr (0.626, 0.626, 0.626)
Mo (0.250, 0.250, 0.250)


# 4
The following is a DFT calculation (PBE) of TlCd2Cl after structural relaxation.

## Properties
magnetic moment	0.00	μB per cell
V	107.8	Å³ per cell
symmetry	No. 123
energy above the most stable polymorph in this dataset	94	meV per atom
formation energy from raw total energies	-0.229	eV per atom
N(E_F)	1.20	states/eV/cell
crystal system	tetragonal
calculated total energy	-1.740	eV/atom

a b c (Å): 3.612 3.612 8.263
angles (deg): 90.00 90.00 90.00
Fractional positions:
Tl (0.000, 0.000, 0.000)
Cd (0.500, 0.500, 0.272)
Cd (0.500, 0.500, 0.728)
Cl (0.000, 0.000, 0.500)


# 5
The following is a DFT calculation (PBE) of KNbSeN2 after structural relaxation.

## Properties
magnetic moment	1.99	μB per cell
V	93.4	Å³ per cell
symmetry	No. 123
energy above the most stable polymorph in this dataset	0	meV per atom
formation energy from raw total energies	-0.021	eV per atom
N(E_F)	2.45	states/eV/cell
crystal system	tetragonal
calculated total energy	-6.281	eV/atom

a b c (Å): 4.221 4.221 5.242
angles (deg): 90.00 90.00 90.00
Fractional positions:
K (0.000, 0.000, 0.000)
Nb (0.500, 0.500, 0.500)
Se (0.500, 0.500, 0.000)
N (0.000, 0.500, 0.500)
N (0.500, 0.000, 0.500)


# 6
The following is a DFT calculation (PBE) of Cs2Li2PuO4 after structural relaxation.

## Properties
magnetic moment	4.00	μB per cell
V	152.2	Å³ per cell
symmetry	No. 12
formation energy from raw total energies	-2.048	eV per atom
N(E_F)	4.93	states/eV/cell
crystal system	monoclinic
calculated total energy	-6.459	eV/atom

a b c (Å): 6.655 6.655 7.010
angles (deg): 108.97 108.97 31.40
Fractional positions:
Cs (0.145, 0.145, 0.082)
Cs (0.855, 0.855, 0.918)
Li (0.320, 0.320, 0.517)
Li (0.680, 0.680, 0.483)
Pu (0.000, 0.000, 0.500)
O (0.184, 0.184, 0.610)
O (0.482, 0.482, 0.692)
O (0.518, 0.518, 0.308)
O (0.816, 0.816, 0.390)


# 7
The following is a DFT calculation (PBE) of NiHOsW2 after structural relaxation.

## Properties
magnetic moment	0.00	μB per cell
V	59.7	Å³ per cell
symmetry	No. 123
N(E_F)	2.12	states/eV/cell
crystal system	tetragonal
calculated total energy	-9.159	eV/atom

a b c (Å): 3.943 3.943 3.840
angles (deg): 90.00 90.00 90.00
Fractional positions:
Ni (0.000, 0.000, 0.000)
H (0.000, 0.000, 0.500)
Os (0.500, 0.500, 0.000)
W (0.000, 0.500, 0.500)
W (0.500, 0.000, 0.500)


# 8
The following is a DFT calculation (PBE) of TbDyScPt after structural relaxation.

## Properties
magnetic moment	0.57	μB per cell
V	94.2	Å³ per cell
symmetry	No. 216
N(E_F)	5.70	states/eV/cell
crystal system	cubic
calculated total energy	-5.774	eV/atom
formation energy	-0.372	eV/atom

a b c (Å): 5.107 5.107 5.107
angles (deg): 60.00 60.00 60.00
Fractional positions:
Tb (0.000, 0.000, 0.000)
Dy (0.500, 0.500, 0.500)
Sc (0.750, 0.750, 0.750)
Pt (0.250, 0.250, 0.250)